Material: Pm6H3C2N
Method: DFT, GGA-PBE
State: relaxed

a b c (Å): 6.3469 6.3469 6.3864
angles (deg): 99.56 99.56 120.02
With the nearest neighbours (Å) after each atom.
Positions (direct):
Pm: 0.0765 0.4070 0.2289  1 N 2.51, 2 C 2.53, 3 H 2.65-2.67
Pm: 0.2540 0.2540 0.7720  1 N 2.51, 2 C 2.53, 3 H 2.69-2.70
Pm: 0.4070 0.0765 0.2289  1 N 2.51, 2 C 2.53, 3 H 2.65-2.67
Pm: 0.5930 0.9235 0.7711  1 N 2.51, 2 C 2.53, 3 H 2.65-2.67
Pm: 0.7460 0.7460 0.2280  1 N 2.51, 2 C 2.53, 3 H 2.69-2.70
Pm: 0.9235 0.5930 0.7711  1 N 2.51, 2 C 2.53, 3 H 2.65-2.67
H: 0.1712 0.8288 0.5000  6 Pm 2.65-2.70
H: 0.5000 0.5000 0.5000  6 Pm 2.66-2.69
H: 0.8288 0.1712 0.5000  6 Pm 2.65-2.70
C: 0.3335 0.6665 0.0000  6 Pm 2.53
C: 0.6665 0.3335 0.0000  6 Pm 2.53
N: 0.0000 0.0000 0.0000  6 Pm 2.51

Values from the calculation:
Crystal system: monoclinic
Symmetry: No. 12
VASP energy, eV/atom: -6.004

=====

Material: PmHCN2
Method: DFT, GGA-PBE
State: relaxed

a b c (Å): 5.0409 5.0409 7.4267
angles (deg): 90.00 90.00 137.47
With the nearest neighbours (Å) after each atom.
Positions (direct):
Pm: 0.2288 0.7712 0.7500  2 H 2.30, 4 N 2.56
Pm: 0.7712 0.2288 0.2500  2 H 2.30, 4 N 2.56
H: 0.1229 0.8771 0.2500  2 Pm 2.30
H: 0.8771 0.1229 0.7500  2 Pm 2.30
C: 0.5000 0.5000 0.0000  2 N 1.23
C: 0.5000 0.5000 0.5000  2 N 1.23
N: 0.3740 0.6260 0.0464  1 C 1.23
N: 0.3740 0.6260 0.4536  1 C 1.23
N: 0.6260 0.3740 0.5464  1 C 1.23
N: 0.6260 0.3740 0.9536  1 C 1.23

Values from the calculation:
Crystal system: orthorhombic
Symmetry: No. 63
VASP energy, eV/atom: -7.469

=====

Material: Pr6H3C2N
Method: DFT, GGA-PBE
State: relaxed

a b c (Å): 6.4538 6.4538 6.5471
angles (deg): 99.48 99.48 120.03
With the nearest neighbours (Å) after each atom.
Positions (direct):
Pr: 0.0764 0.4068 0.2285  1 N 2.56, 2 C 2.58, 3 H 2.70-2.72
Pr: 0.2540 0.2540 0.7721  1 N 2.55, 2 C 2.58, 3 H 2.75-2.76
Pr: 0.4068 0.0764 0.2285  1 N 2.56, 2 C 2.58, 3 H 2.70-2.72
Pr: 0.5932 0.9236 0.7715  1 N 2.56, 2 C 2.58, 3 H 2.70-2.72
Pr: 0.7460 0.7460 0.2279  1 N 2.55, 2 C 2.58, 3 H 2.75-2.76
Pr: 0.9236 0.5932 0.7715  1 N 2.56, 2 C 2.58, 3 H 2.70-2.72
H: 0.1721 0.8279 0.5000  6 Pr 2.70-2.76
H: 0.5000 0.5000 0.5000  6 Pr 2.72-2.75
H: 0.8279 0.1721 0.5000  6 Pr 2.70-2.76
C: 0.3336 0.6664 0.0000  6 Pr 2.58
C: 0.6664 0.3336 0.0000  6 Pr 2.58
N: 0.0000 0.0000 0.0000  6 Pr 2.55-2.56

Values from the calculation:
Crystal system: monoclinic
Symmetry: No. 12
VASP energy, eV/atom: -5.953

=====

Material: Pu6HC2N3
Method: DFT, GGA-PBE
State: relaxed

a b c (Å): 7.8159 7.8159 7.0115
angles (deg): 102.70 102.70 25.72
With the nearest neighbours (Å) after each atom.
Positions (direct):
Pu: 0.0004 0.0004 0.2416  3 N 2.43-2.61, 1 C 2.45, 2 H 2.51
Pu: 0.9996 0.9996 0.7584  3 N 2.43-2.61, 1 C 2.45, 2 H 2.51
Pu: 0.3324 0.3324 0.9114  3 N 2.46-2.49, 3 C 2.49-2.50
Pu: 0.3334 0.3334 0.4212  3 N 2.34-2.44, 1 H 2.47, 2 C 2.48
Pu: 0.6666 0.6666 0.5788  3 N 2.34-2.44, 1 H 2.47, 2 C 2.48
Pu: 0.6676 0.6676 0.0886  3 N 2.46-2.49, 3 C 2.49-2.50
H: 0.5000 0.5000 0.5000  6 Pu 2.47-2.51
C: 0.1647 0.1647 0.8304  6 Pu 2.45-2.50
C: 0.8353 0.8353 0.1696  6 Pu 2.45-2.50
N: 0.1760 0.1760 0.3399  6 Pu 2.34-2.61
N: 0.5000 0.5000 0.0000  6 Pu 2.43-2.49
N: 0.8240 0.8240 0.6601  6 Pu 2.34-2.61

Values from the calculation:
Crystal system: monoclinic
Symmetry: No. 12
VASP energy, eV/atom: -11.652

=====

Material: Pu6HC3N2
Method: DFT, GGA-PBE
State: relaxed

a b c (Å): 7.5430 7.5430 7.0636
angles (deg): 101.21 101.21 25.61
With the nearest neighbours (Å) after each atom.
Positions (direct):
Pu: 0.0099 0.0099 0.2367  1 N 2.25, 3 C 2.35-2.41
Pu: 0.2991 0.2991 0.9418  3 N 2.34-2.60, 2 C 2.39, 2 Pu 2.46
Pu: 0.3399 0.3399 0.4494  1 H 2.31, 2 N 2.36, 3 C 2.45-2.56
Pu: 0.6601 0.6601 0.5506  1 H 2.31, 2 N 2.36, 3 C 2.45-2.56
Pu: 0.7009 0.7009 0.0582  3 N 2.34-2.60, 2 C 2.39, 2 Pu 2.46
Pu: 0.9901 0.9901 0.7633  1 N 2.25, 3 C 2.35-2.41
H: 0.5000 0.5000 0.5000  6 Pu 2.31-2.53
C: 0.1765 0.1765 0.2847  6 Pu 2.39-2.56
C: 0.5000 0.5000 0.0000  4 Pu 2.35
C: 0.8235 0.8235 0.7153  6 Pu 2.39-2.56
N: 0.1444 0.1444 0.7769  4 Pu 2.25-2.36
N: 0.8556 0.8556 0.2231  4 Pu 2.25-2.36

Values from the calculation:
Crystal system: monoclinic
Symmetry: No. 12
VASP energy, eV/atom: -11.351

=====

Material: RbH4CN3
Method: DFT, GGA-PBE
State: relaxed

a b c (Å): 7.0694 7.1834 7.6597
angles (deg): 90.00 90.00 90.00
With the nearest neighbours (Å) after each atom.
Positions (direct):
Rb: 0.0335 0.2500 0.0739  10 H 2.99-3.31, 5 N 3.08-3.26, 1 C 3.12
Rb: 0.4665 0.7500 0.5739  10 H 2.99-3.31, 5 N 3.08-3.26, 1 C 3.12
Rb: 0.5335 0.2500 0.4261  10 H 2.99-3.31, 5 N 3.08-3.26, 1 C 3.12
Rb: 0.9665 0.7500 0.9261  10 H 2.99-3.31, 5 N 3.08-3.26, 1 C 3.12
H: 0.0504 0.6280 0.5607  1 N 1.03
H: 0.0504 0.8720 0.5607  1 N 1.03
H: 0.2053 0.5973 0.2684  1 N 1.03
H: 0.2053 0.9027 0.2684  1 N 1.03
H: 0.2947 0.0973 0.7684  1 N 1.03
H: 0.2947 0.4027 0.7684  1 N 1.03
H: 0.4496 0.1280 0.0607  1 N 1.03
H: 0.4496 0.3720 0.0607  1 N 1.03
H: 0.5504 0.6280 0.9393  1 N 1.03
H: 0.5504 0.8720 0.9393  1 N 1.03
H: 0.7053 0.5973 0.2316  1 N 1.03
H: 0.7053 0.9027 0.2316  1 N 1.03
H: 0.7947 0.0973 0.7316  1 N 1.03
H: 0.7947 0.4027 0.7316  1 N 1.03
H: 0.9496 0.1280 0.4393  1 N 1.03
H: 0.9496 0.3720 0.4393  1 N 1.03
C: 0.1415 0.2500 0.6144  3 N 1.35-1.39
C: 0.3585 0.7500 0.1144  3 N 1.35-1.39
C: 0.6415 0.2500 0.8856  3 N 1.35-1.39
C: 0.8585 0.7500 0.3856  3 N 1.35-1.39
N: 0.0163 0.2500 0.4751  2 H 1.03
N: 0.1971 0.0804 0.6704  1 H 1.03
N: 0.1971 0.4196 0.6704  1 H 1.03
N: 0.3029 0.5804 0.1704  1 H 1.03
N: 0.3029 0.9196 0.1704  1 H 1.03
N: 0.4837 0.7500 0.9751  2 H 1.03
N: 0.5163 0.2500 0.0249  2 H 1.03
N: 0.6971 0.0804 0.8296  1 H 1.03
N: 0.6971 0.4196 0.8296  1 H 1.03
N: 0.8029 0.5804 0.3296  1 H 1.03
N: 0.8029 0.9196 0.3296  1 H 1.03
N: 0.9837 0.7500 0.5249  2 H 1.03

Values from the calculation:
Crystal system: orthorhombic
Symmetry: No. 62
VASP energy, eV/atom: -5.729

=====

Material: SnH6C4S2N2
Method: DFT, GGA-PBE
State: relaxed

a b c (Å): 8.6683 9.8427 5.7466
angles (deg): 90.00 90.00 90.00
With the nearest neighbours (Å) after each atom.
Positions (direct):
Sn: 0.2500 0.2500 0.0469  2 C 2.13, 2 N 2.15
Sn: 0.7500 0.7500 0.9531  2 C 2.13, 2 N 2.15
H: 0.0027 0.2500 0.3350  1 C 1.09
H: 0.0390 0.6581 0.9286  1 C 1.10
H: 0.0390 0.8419 0.9286  1 C 1.10
H: 0.4610 0.6581 0.9286  1 C 1.10
H: 0.4610 0.8419 0.9286  1 C 1.10
H: 0.4973 0.2500 0.3350  1 C 1.09
H: 0.5027 0.7500 0.6650  1 C 1.09
H: 0.5390 0.1581 0.0714  1 C 1.10
H: 0.5390 0.3419 0.0714  1 C 1.10
H: 0.9610 0.1581 0.0714  1 C 1.10
H: 0.9610 0.3419 0.0714  1 C 1.10
H: 0.9973 0.7500 0.6650  1 C 1.09
C: 0.0129 0.2500 0.1452  3 H 1.09-1.10
C: 0.2500 0.0467 0.5922  1 N 1.19
C: 0.2500 0.4533 0.5922  1 N 1.19
C: 0.4871 0.2500 0.1452  3 H 1.09-1.10
C: 0.5129 0.7500 0.8548  3 H 1.09-1.10
C: 0.7500 0.5467 0.4078  1 N 1.19
C: 0.7500 0.9533 0.4078  1 N 1.19
C: 0.9871 0.7500 0.8548  3 H 1.09-1.10
S: 0.2500 0.5240 0.3405  1 C 1.61
S: 0.2500 0.9760 0.3405  1 C 1.61
S: 0.7500 0.0240 0.6595  1 C 1.61
S: 0.7500 0.4760 0.6595  1 C 1.61
N: 0.2500 0.0967 0.7810  1 C 1.19
N: 0.2500 0.4033 0.7810  1 C 1.19
N: 0.7500 0.5967 0.2190  1 C 1.19
N: 0.7500 0.9033 0.2190  1 C 1.19

Values from the calculation:
Crystal system: orthorhombic
Symmetry: No. 59
VASP energy, eV/atom: -5.740

=====

Material: Sc6H3C2N
Method: DFT, GGA-PBE
State: relaxed

a b c (Å): 5.7309 5.7309 5.5380
angles (deg): 99.89 99.89 120.03
With the nearest neighbours (Å) after each atom.
Positions (direct):
Sc: 0.0765 0.4073 0.2304  1 N 2.24, 2 C 2.26, 3 H 2.36-2.39
Sc: 0.2548 0.2548 0.7717  1 N 2.24, 2 C 2.26, 3 H 2.36-2.39
Sc: 0.4073 0.0765 0.2304  1 N 2.24, 2 C 2.26, 3 H 2.36-2.39
Sc: 0.5927 0.9235 0.7696  1 N 2.24, 2 C 2.26, 3 H 2.36-2.39
Sc: 0.7452 0.7452 0.2283  1 N 2.24, 2 C 2.26, 3 H 2.36-2.39
Sc: 0.9235 0.5927 0.7696  1 N 2.24, 2 C 2.26, 3 H 2.36-2.39
H: 0.1651 0.8349 0.5000  6 Sc 2.36-2.39
H: 0.5000 0.5000 0.5000  6 Sc 2.37-2.39
H: 0.8349 0.1651 0.5000  6 Sc 2.36-2.39
C: 0.3331 0.6669 0.0000  6 Sc 2.26
C: 0.6669 0.3331 0.0000  6 Sc 2.26
N: 0.0000 0.0000 0.0000  6 Sc 2.24

Values from the calculation:
Crystal system: monoclinic
Symmetry: No. 12
VASP energy, eV/atom: -7.024

=====

Material: Sc8H4C3N
Method: DFT, GGA-PBE
State: relaxed

a b c (Å): 6.4692 6.4692 6.4692
angles (deg): 61.68 61.68 61.68
With the nearest neighbours (Å) after each atom.
Positions (direct):
Sc: 0.2436 0.2436 0.2436  3 C 2.26, 3 H 2.37
Sc: 0.2444 0.7424 0.7424  1 N 2.25, 2 C 2.26, 3 H 2.38-2.39
Sc: 0.2576 0.2576 0.7556  1 N 2.25, 2 C 2.26, 3 H 2.38-2.39
Sc: 0.2576 0.7556 0.2576  1 N 2.25, 2 C 2.26, 3 H 2.38-2.39
Sc: 0.7424 0.2444 0.7424  1 N 2.25, 2 C 2.26, 3 H 2.38-2.39
Sc: 0.7424 0.7424 0.2444  1 N 2.25, 2 C 2.26, 3 H 2.38-2.39
Sc: 0.7556 0.2576 0.2576  1 N 2.25, 2 C 2.26, 3 H 2.38-2.39
Sc: 0.7564 0.7564 0.7564  3 C 2.26, 3 H 2.37
H: 0.0000 0.0000 0.0000  6 Sc 2.39
H: 0.0000 0.5000 0.5000  6 Sc 2.37-2.38
H: 0.5000 0.0000 0.5000  6 Sc 2.37-2.38
H: 0.5000 0.5000 0.0000  6 Sc 2.37-2.38
C: 0.0000 0.0000 0.5000  6 Sc 2.26
C: 0.0000 0.5000 0.0000  6 Sc 2.26
C: 0.5000 0.0000 0.0000  6 Sc 2.26
N: 0.5000 0.5000 0.5000  6 Sc 2.25

Values from the calculation:
Crystal system: trigonal
Symmetry: No. 166
VASP energy, eV/atom: -6.990

=====

Material: Sc8HC3N3
Method: DFT, GGA-PBE
State: relaxed

a b c (Å): 6.4980 6.4980 6.4980
angles (deg): 59.85 59.85 59.85
With the nearest neighbours (Å) after each atom.
Positions (direct):
Sc: 0.2459 0.2459 0.7532  2 C 2.29, 2 N 2.30, 1 H 2.33
Sc: 0.2459 0.7532 0.2459  2 C 2.29, 2 N 2.30, 1 H 2.33
Sc: 0.2468 0.7541 0.7541  2 C 2.29, 2 N 2.30, 1 H 2.33
Sc: 0.2483 0.2483 0.2483  3 N 2.28, 3 C 2.31
Sc: 0.7517 0.7517 0.7517  3 N 2.28, 3 C 2.31
Sc: 0.7532 0.2459 0.2459  2 C 2.29, 2 N 2.30, 1 H 2.33
Sc: 0.7541 0.2468 0.7541  2 C 2.29, 2 N 2.30, 1 H 2.33
Sc: 0.7541 0.7541 0.2468  2 C 2.29, 2 N 2.30, 1 H 2.33
H: 0.5000 0.5000 0.5000  6 Sc 2.33
C: 0.0000 0.5000 0.5000  6 Sc 2.29-2.31
C: 0.5000 0.0000 0.5000  6 Sc 2.29-2.31
C: 0.5000 0.5000 0.0000  6 Sc 2.29-2.31
N: 0.0000 0.0000 0.5000  6 Sc 2.28-2.30
N: 0.0000 0.5000 0.0000  6 Sc 2.28-2.30
N: 0.5000 0.0000 0.0000  6 Sc 2.28-2.30

Values from the calculation:
Crystal system: trigonal
Symmetry: No. 166
VASP energy, eV/atom: -8.093

=====

Material: Sc6H2C2N
Method: DFT, GGA-PBE
State: relaxed

a b c (Å): 5.7152 5.7152 5.6355
angles (deg): 99.84 99.84 119.95
With the nearest neighbours (Å) after each atom.
Positions (direct):
Sc: 0.0780 0.4069 0.2283  1 N 2.24, 2 C 2.26-2.27, 2 H 2.39-2.41
Sc: 0.2551 0.2551 0.7723  1 N 2.25, 2 C 2.26, 2 H 2.37
Sc: 0.4069 0.0780 0.2283  1 N 2.24, 2 C 2.26-2.27, 2 H 2.39-2.41
Sc: 0.5931 0.9220 0.7717  1 N 2.24, 2 C 2.26-2.27, 2 H 2.39-2.41
Sc: 0.7449 0.7449 0.2277  1 N 2.25, 2 C 2.26, 2 H 2.37
Sc: 0.9220 0.5931 0.7717  1 N 2.24, 2 C 2.26-2.27, 2 H 2.39-2.41
H: 0.1653 0.8347 0.5000  6 Sc 2.37-2.41
H: 0.8347 0.1653 0.5000  6 Sc 2.37-2.41
C: 0.3328 0.6672 0.0000  6 Sc 2.26-2.27
C: 0.6672 0.3328 0.0000  6 Sc 2.26-2.27
N: 0.0000 0.0000 0.0000  6 Sc 2.24-2.25

Values from the calculation:
Crystal system: monoclinic
Symmetry: No. 12
VASP energy, eV/atom: -7.278

=====

Material: ScH2CN
Method: DFT, GGA-PBE
State: relaxed

a b c (Å): 2.9864 2.9864 4.6540
angles (deg): 90.00 90.00 90.00
With the nearest neighbours (Å) after each atom.
Positions (direct):
Sc: 0.0000 0.0000 0.0000  4 N 2.11
H: 0.0000 0.5000 0.5000  2 C 1.49
H: 0.5000 0.0000 0.5000  2 C 1.49
C: 0.5000 0.5000 0.5000  4 H 1.49
N: 0.5000 0.5000 0.0000  4 Sc 2.11, 2 C 2.33

Values from the calculation:
Crystal system: tetragonal
Symmetry: No. 123
VASP energy, eV/atom: -5.801

=====

What did the eighth record say?
Material: Sc6H3C2N
Method: DFT, GGA-PBE
State: relaxed

a b c (Å): 5.7309 5.7309 5.5380
angles (deg): 99.89 99.89 120.03
With the nearest neighbours (Å) after each atom.
Positions (direct):
Sc: 0.0765 0.4073 0.2304  1 N 2.24, 2 C 2.26, 3 H 2.36-2.39
Sc: 0.2548 0.2548 0.7717  1 N 2.24, 2 C 2.26, 3 H 2.36-2.39
Sc: 0.4073 0.0765 0.2304  1 N 2.24, 2 C 2.26, 3 H 2.36-2.39
Sc: 0.5927 0.9235 0.7696  1 N 2.24, 2 C 2.26, 3 H 2.36-2.39
Sc: 0.7452 0.7452 0.2283  1 N 2.24, 2 C 2.26, 3 H 2.36-2.39
Sc: 0.9235 0.5927 0.7696  1 N 2.24, 2 C 2.26, 3 H 2.36-2.39
H: 0.1651 0.8349 0.5000  6 Sc 2.36-2.39
H: 0.5000 0.5000 0.5000  6 Sc 2.37-2.39
H: 0.8349 0.1651 0.5000  6 Sc 2.36-2.39
C: 0.3331 0.6669 0.0000  6 Sc 2.26
C: 0.6669 0.3331 0.0000  6 Sc 2.26
N: 0.0000 0.0000 0.0000  6 Sc 2.24

Values from the calculation:
Crystal system: monoclinic
Symmetry: No. 12
VASP energy, eV/atom: -7.024

=====

Copy entry 9 word for word.
Material: Sc8H4C3N
Method: DFT, GGA-PBE
State: relaxed

a b c (Å): 6.4692 6.4692 6.4692
angles (deg): 61.68 61.68 61.68
With the nearest neighbours (Å) after each atom.
Positions (direct):
Sc: 0.2436 0.2436 0.2436  3 C 2.26, 3 H 2.37
Sc: 0.2444 0.7424 0.7424  1 N 2.25, 2 C 2.26, 3 H 2.38-2.39
Sc: 0.2576 0.2576 0.7556  1 N 2.25, 2 C 2.26, 3 H 2.38-2.39
Sc: 0.2576 0.7556 0.2576  1 N 2.25, 2 C 2.26, 3 H 2.38-2.39
Sc: 0.7424 0.2444 0.7424  1 N 2.25, 2 C 2.26, 3 H 2.38-2.39
Sc: 0.7424 0.7424 0.2444  1 N 2.25, 2 C 2.26, 3 H 2.38-2.39
Sc: 0.7556 0.2576 0.2576  1 N 2.25, 2 C 2.26, 3 H 2.38-2.39
Sc: 0.7564 0.7564 0.7564  3 C 2.26, 3 H 2.37
H: 0.0000 0.0000 0.0000  6 Sc 2.39
H: 0.0000 0.5000 0.5000  6 Sc 2.37-2.38
H: 0.5000 0.0000 0.5000  6 Sc 2.37-2.38
H: 0.5000 0.5000 0.0000  6 Sc 2.37-2.38
C: 0.0000 0.0000 0.5000  6 Sc 2.26
C: 0.0000 0.5000 0.0000  6 Sc 2.26
C: 0.5000 0.0000 0.0000  6 Sc 2.26
N: 0.5000 0.5000 0.5000  6 Sc 2.25

Values from the calculation:
Crystal system: trigonal
Symmetry: No. 166
VASP energy, eV/atom: -6.990